! HfInPd4 | Alexandria | PBE | optimized geometry; values from VASP
&SYSTEM
  ibrav = 0, nat = 6, ntyp = 3
/
ATOMIC_SPECIES
Pd 106.42 Pd.upf
In 114.82 In.upf
Hf 178.49 Hf.upf
CELL_PARAMETERS angstrom
3.619 0.000 1.047
2.019 4.652 -0.201
0.123 -1.618 6.353
ATOMIC_POSITIONS angstrom
Pd 1.640 2.019 1.111
In 2.881 1.517 3.599
Pd 4.122 1.015 6.088
Pd 1.264 -0.513 2.409
Pd 4.497 3.547 4.789
Hf 0.000 0.000 0.000
! * space-group type: C2/m
! * relative energy among the computed polymorphs: 0 meV/atom
! * spin magnetization: 0.0 μB per formula unit
! * formation energy from the elements: -642.5 meV/atom

! LiPm4Sn | Alexandria | PBE | optimized geometry; values from VASP
&SYSTEM
  ibrav = 0, nat = 12, ntyp = 3
/
ATOMIC_SPECIES
Li 6.94 Li.upf
Sn 118.71 Sn.upf
Pm 145.00 Pm.upf
CELL_PARAMETERS angstrom
-4.755 -0.131 2.687
3.253 -1.098 5.704
3.040 10.869 0.357
ATOMIC_POSITIONS angstrom
Li 0.403 0.691 6.301
Sn 1.250 2.951 2.356
Li 1.613 8.789 3.283
Pm 2.274 5.682 4.302
Pm 3.256 8.511 6.178
Pm -1.241 0.969 3.405
Sn 0.757 6.532 7.212
Pm 0.595 6.243 1.358
Pm 2.846 1.922 5.130
Pm -0.267 3.805 5.267
Pm -0.842 7.562 4.433
Pm -1.843 4.332 2.504
! * space-group type: Cmc2_1
! * spin magnetization: 0.0 μB per formula unit
! * formation energy from the elements: -14.3 meV/atom

! Ba3Tl2Hg3 | Alexandria | PBE | optimized geometry; values from VASP
&SYSTEM
  ibrav = 0, nat = 16, ntyp = 3
/
ATOMIC_SPECIES
Ba 137.33 Ba.upf
Hg 200.59 Hg.upf
Tl 204.38 Tl.upf
CELL_PARAMETERS angstrom
5.177 0.000 0.000
-2.589 6.368 0.000
0.000 0.000 17.387
ATOMIC_POSITIONS angstrom
Ba 0.000 1.182 10.455
Hg 0.000 5.011 16.642
Tl 2.589 3.741 10.409
Hg 2.589 1.357 0.745
Tl 0.000 2.627 1.715
Hg 0.000 5.011 9.439
Hg 2.589 1.906 13.041
Ba 0.000 1.182 15.626
Tl 2.589 3.741 15.673
Ba 2.589 5.186 1.761
Tl 0.000 2.627 6.979
Ba 2.589 5.186 6.932
Ba 2.589 1.645 4.347
Hg 0.000 4.462 4.347
Ba 0.000 4.724 13.041
Hg 2.589 1.357 7.948
! * space-group type: Cmcm
! * spin magnetization: 0.0 μB per formula unit
! * formation energy from the elements: -430.1 meV/atom

! Pu6Te3AsS2 | Alexandria | PBE | optimized geometry; values from VASP
&SYSTEM
  ibrav = 0, nat = 12, ntyp = 4
/
ATOMIC_SPECIES
Te 127.60 Te.upf
Pu 244.00 Pu.upf
S 32.06 S.upf
As 74.92 As.upf
CELL_PARAMETERS angstrom
-6.238 3.344 -1.800
0.693 -3.152 6.551
4.311 5.945 1.047
ATOMIC_POSITIONS angstrom
Te -2.947 5.252 0.091
Pu -3.125 1.425 3.702
S -3.932 1.183 0.978
Pu 0.774 0.243 2.804
Te -0.617 3.068 2.899
As 0.000 0.000 0.000
Pu 1.891 4.712 2.095
Pu -2.008 5.893 2.993
Te 1.713 0.885 5.706
S -1.613 -0.991 3.773
Pu -1.583 2.452 -0.036
Pu 0.349 3.684 5.833
! * space-group type: C2/m
! * spin magnetization: 34.4 μB per formula unit
! * electronic total energy: -123.9 eV for the cell shown

! Cs2TaBeW | Alexandria | PBE | optimized geometry; values from VASP
&SYSTEM
  ibrav = 0, nat = 5, ntyp = 4
/
ATOMIC_SPECIES
Cs 132.91 Cs.upf
Be 9.01 Be.upf
W 183.84 W.upf
Ta 180.95 Ta.upf
CELL_PARAMETERS angstrom
6.982 0.000 0.000
0.000 4.789 0.000
0.000 0.000 6.982
ATOMIC_POSITIONS angstrom
Cs 0.000 0.000 3.491
Be 3.491 2.394 3.491
Cs 3.491 0.000 0.000
W 0.000 0.000 0.000
Ta 0.000 2.394 0.000
! * space-group type: P4/mmm
! * spin magnetization: 0.4 μB per formula unit
! * formation energy from the elements: 2162.9 meV/atom

! Cs2GaAu | Alexandria | PBE | optimized geometry; values from VASP
&SYSTEM
  ibrav = 0, nat = 4, ntyp = 3
/
ATOMIC_SPECIES
Au 196.97 Au.upf
Cs 132.91 Cs.upf
Ga 69.72 Ga.upf
CELL_PARAMETERS angstrom
-2.270 1.108 -3.820
-2.322 -1.041 3.823
0.414 10.509 2.802
ATOMIC_POSITIONS angstrom
Au -0.706 4.155 1.624
Cs -0.749 0.873 0.698
Cs -2.961 6.948 1.030
Ga -3.013 3.369 2.767
! * space-group type: Cm
! * relative energy among the computed polymorphs: 71 meV/atom
! * spin magnetization: 0.0 μB per formula unit
! * formation energy from the elements: -111.4 meV/atom

Number 6 is which compound? Cs2GaAu